A plane-wave DFT calculation with PBE was carried out for Ca2YIn after structural relaxation.

Geometry as POSCAR:
```
Ca2YIn
1.0
-1.534 0.963 3.125
4.092 -0.993 2.315
2.273 6.964 -1.029
Ca In Y
2 1 1
direct
0.500 0.500 0.276
0.000 0.000 0.988
0.000 0.000 0.516
0.500 0.500 0.720
```

Energy relative to the elements = -16.4 kJ/mol of atoms
M_tot = 0.0000 μB per atom
N(E_F) = 2.39 states/eV/f.u.



A plane-wave DFT calculation with PBE was carried out for CaYIn after structural relaxation.

Geometry as POSCAR:
```
CaYIn
1.0
4.703 -2.715 0.000
0.000 5.431 0.000
0.000 0.000 6.892
In Y Ca
2 2 2
direct
0.333 0.667 0.250
0.667 0.333 0.750
0.333 0.667 0.750
0.667 0.333 0.250
0.000 0.000 0.500
0.000 0.000 0.000
```

Energy relative to the elements = -38.9 kJ/mol of atoms
M_tot = 0.0000 μB per atom
N(E_F) = 0.44 states/eV/f.u.
E above lowest polymorph = 0.000 eV/atom